one | ! PbAu2Se2 GGA-PBEsol optimized geometry; values from VASP
! Spin magnetization, μB/atom: 0.00
&SYSTEM
  ibrav = 0, nat = 5, ntyp = 3
/
ATOMIC_SPECIES
Pb 207.20 Pb.upf
Au 196.97 Au.upf
Se 78.96 Se.upf
CELL_PARAMETERS angstrom
-2.158 2.158 5.952
2.158 -2.158 5.952
2.158 2.158 -5.952
ATOMIC_POSITIONS crystal
Pb 0.000 0.000 0.000
Au 0.390 0.390 0.000
Au 0.610 0.610 0.000
Se 0.250 0.750 0.500
Se 0.750 0.250 0.500

=====

two | ! PbAu2Se2 GGA-PBEsol optimized geometry; values from VASP
! Spin magnetization, μB/atom: 0.00
&SYSTEM
  ibrav = 0, nat = 5, ntyp = 3
/
ATOMIC_SPECIES
Pb 207.20 Pb.upf
Au 196.97 Au.upf
Se 78.96 Se.upf
CELL_PARAMETERS angstrom
-1.945 1.945 7.263
1.945 -1.945 7.263
1.945 1.945 -7.263
ATOMIC_POSITIONS crystal
Pb 0.000 0.000 0.000
Au 0.250 0.750 0.500
Au 0.750 0.250 0.500
Se 0.389 0.389 0.000
Se 0.611 0.611 0.000

=====

Stability check: which of them is most stable? two.